This record from OQMD describes a geometry-optimized TbMgInTe3 structure. The functional is PBE.

Unit cell a=7.9569 b=7.9569 c=11.7496 alpha=90.00 beta=90.00 gamma=147.50
Fractional positions:
In 0.2437 0.7563 0.7500
In 0.7563 0.2437 0.2500
Te 0.6371 0.3629 0.5543
Te 0.6371 0.3629 0.9457
Te 0.9236 0.0764 0.7500
Te 0.0764 0.9236 0.2500
Te 0.3629 0.6371 0.4457
Te 0.3629 0.6371 0.0543
Tb 0.0000 0.0000 0.5000
Tb 0.0000 0.0000 0.0000
Mg 0.4631 0.5369 0.2500
Mg 0.5369 0.4631 0.7500

Properties
raw total energy = -47.45 eV for the cell shown
calculated volume = 33.306 A^3/atom